This record from Alexandria describes a geometry-optimized Be2AgPb structure. The functional is GGA-PBE.

Properties
For the energy of formation, the calculation gives 2.80 eV per formula unit. As for the density of states at the Fermi level: 2.37 states/eV/cell. Its crystal system is monoclinic. The raw total energy is -2.80 eV per atom.

a = 5.706 Å, b = 8.527 Å, c = 3.404 Å
α = 90.00°, β = 120.44°, γ = 90.00°
Space group C2/m (No. 12)
Symmetry-distinct sites (fractional):
1 Be 0.250 0.250 0.000 x4
2 Ag 0.000 0.000 0.000 x2
3 Pb 0.000 0.500 0.000 x2